ZrMnIn4 | PBE-GGA | optimized geometry

The structure in CIF format:
```
data_ZrMnIn4
_chemical_formula_sum 'Zr4 Mn4 In16'
_space_group_name_H-M_alt 'F -4 3 m'
_space_group_IT_number 216
_space_group_name_Hall 'F -4 2 3'
_cell_length_a 8.2163
_cell_length_b 8.2163
_cell_length_c 8.2163
_cell_angle_alpha 90.00
_cell_angle_beta 90.00
_cell_angle_gamma 90.00
loop_
_atom_site_label
_atom_site_type_symbol
_atom_site_fract_x
_atom_site_fract_y
_atom_site_fract_z
Zr1 Zr 0.0000 0.0000 0.0000
Mn1 Mn 0.2500 0.2500 0.2500
In1 In 0.1250 0.1250 0.6250
```

Properties
The calculation puts the formation energy at 338 meV per atom. The calculation puts the total DFT energy (no corrections) at -4.44 eV/atom.